Model P:
Compound: Li3InCl
Source: Alexandria via LeMat-Bulk
Functional: PBE
Structure: optimized geometry

Computed properties:
The calculation puts the spin magnetization at 0.000 μB/f.u. The value obtained for the density of states at the Fermi level is 1.68 states/eV per cell.

Lattice parameters (Å, degrees): 4.6933 4.6933 4.6933 90.00 90.00 90.00
Element x y z (fractional)
Cl 0.0000 0.0000 0.0000
Li 0.0000 0.5000 0.0000
Li 0.0000 0.0000 0.5000
Li 0.5000 0.0000 0.0000
In 0.5000 0.5000 0.5000

***

Model Q:
Compound: Li3InCl
Source: Alexandria via LeMat-Bulk
Functional: PBE
Structure: optimized geometry

Computed properties:
The calculation puts the spin magnetization at 3.000 μB/f.u. The value obtained for the density of states at the Fermi level is 0.28 states/eV per cell.

Lattice parameters (Å, degrees): 5.3989 5.3989 5.3989 90.00 90.00 90.00
Each line ends with the local moment (μB).
Element x y z (fractional)
Cl 0.5000 0.5000 0.5000  0.13
Li 0.0000 0.5000 0.0000  0.05
Li 0.0000 0.0000 0.5000  0.06
Li 0.5000 0.0000 0.0000  0.05
In 0.0000 0.0000 0.0000  0.67

***

The most stable structure shown above is model P; the least stable is model Q.